{
  "formula": "Sc3AgN",
  "functional": "PBE",
  "state": "relaxed",
  "e_form_raw_ev_per_atom": -0.7811,
  "polymorph_energy_mev_per_atom": 138,
  "e_tot_ev_per_cell": -136.3,
  "cell": [[8.030, 0.000, 0.000], [0.000, 5.773, 0.000], [-3.535, 0.000, 7.715]],
  "species": ["Sc", "Sc", "Sc", "Sc", "Sc", "Sc", "Sc", "Sc", "Sc", "Sc", "Sc", "Sc", "Ag", "Ag", "Ag", "Ag", "N", "N", "N", "N"],
  "frac_coords": [[0.061, 0.077, 0.356], [0.061, 0.423, 0.856], [0.189, 0.579, 0.550], [0.189, 0.921, 0.050], [0.347, 0.118, 0.756], [0.347, 0.382, 0.256], [0.653, 0.618, 0.744], [0.653, 0.882, 0.244], [0.811, 0.079, 0.950], [0.811, 0.421, 0.450], [0.939, 0.577, 0.144], [0.939, 0.923, 0.644], [0.400, 0.678, 0.907], [0.400, 0.822, 0.407], [0.600, 0.178, 0.593], [0.600, 0.322, 0.093], [0.076, 0.249, 0.102], [0.076, 0.251, 0.602], [0.924, 0.749, 0.398], [0.924, 0.751, 0.898]]
}